Entry from Alexandria: a relaxed structure of LiCe2PaN5 (PBE).

```
18
Lattice="-0.5133 2.0823 -2.7932 -0.4244 -6.4004 -2.4736 -10.3631 -0.0379 1.8762" Properties=species:S:1:pos:R:3 pbc="T T T"
N -2.0264 -1.1997 -2.7419
N -0.7532 -0.4249 -0.1783
N -8.8218 -5.3299 -2.3523
N -0.6768 -3.7930 -2.7034
N -5.8322 -0.5454 -1.5547
N -7.0642 -3.1482 -1.0488
N -9.4044 -1.1689 -1.3631
N -4.0938 -3.1951 -1.6297
N -3.2308 0.9713 -0.9021
N -6.7652 -3.9172 -3.8971
Li -5.7118 -5.3551 -2.9426
Li -10.4747 0.9813 0.4365
Ce -2.5825 -3.0859 -4.0459
Ce -3.2307 -1.2882 -0.3666
Ce -9.0254 -3.0713 -2.8510
Ce -7.1412 -1.2643 0.3698
Pa -5.8198 -2.2828 -2.8523
Pa -10.5857 -2.0918 0.3859
```

Computed properties:
The calculation puts the total energy at -8.260 eV/atom. The calculation puts the total magnetization at 0.00 Bohr magnetons per cell. For the theoretical density, the calculation gives 7926 kg/m3.

=====

Entry from Alexandria: a relaxed structure of Th2Hg3Pd (PBE).

```
6
Lattice="3.4180 0.0000 0.0000 0.0000 4.9806 0.0000 0.0000 0.0000 8.5884" Properties=species:S:1:pos:R:3 pbc="T T T"
Hg 1.7090 0.0000 7.1477
Hg 1.7090 2.4903 5.6680
Hg 1.7090 0.0000 1.4614
Pd 1.7090 2.4903 2.8342
Th 0.0000 2.4903 0.1821
Th 0.0000 0.0000 4.1777
```

Computed properties:
The calculation puts the total magnetization at 0.06 Bohr magnetons per cell. For the theoretical density, the calculation gives 13314 kg/m3. The energy of formation from the pure elements comes out at -0.414 eV/atom.